Ca3Np3Te8Au: relaxed, PBE.

```
data_Ca3Np3Te8Au
_chemical_formula_sum 'Ca3 Np3 Te8 Au1'
_symmetry_space_group_name_H-M 'P 1'
_symmetry_Int_Tables_number 1
_cell_length_a 8.7830
_cell_length_b 8.7843
_cell_length_c 8.9417
_cell_angle_alpha 119.42
_cell_angle_beta 90.00
_cell_angle_gamma 120.00
loop_
_symmetry_equiv_pos_as_xyz
'x,y,z'
loop_
_atom_site_label
_atom_site_fract_x
_atom_site_fract_y
_atom_site_fract_z
Te1 0.7536 0.0057 0.2593
Te2 0.2464 0.9943 0.7407
Te3 0.2506 0.5012 0.2512
Te4 0.2466 0.4931 0.7407
Te5 0.2522 0.0057 0.2593
Te6 0.7494 0.4988 0.7488
Te7 0.7478 0.9943 0.7407
Te8 0.7534 0.5069 0.2593
Np1 0.5000 0.0000 0.5000
Np2 0.5000 0.5000 0.5000
Np3 0.0000 0.5000 0.5000
Ca1 0.5000 0.5000 0.0000
Ca2 0.0000 0.0000 0.0000
Ca3 0.0000 0.5000 0.0000
Au1 0.0000 0.0000 0.5000
```

Calculated values
Raw formation energy (meV per atom): -860
DFT total energy (eV per atom): -5.743

=====

CaAuO2: relaxed, PBE.

```
data_CaAuO2
_chemical_formula_sum 'Ca1 Au1 O2'
_symmetry_space_group_name_H-M 'P 1'
_symmetry_Int_Tables_number 1
_cell_length_a 4.2064
_cell_length_b 4.2064
_cell_length_c 4.2064
_cell_angle_alpha 60.00
_cell_angle_beta 60.00
_cell_angle_gamma 60.00
loop_
_symmetry_equiv_pos_as_xyz
'x,y,z'
loop_
_atom_site_label
_atom_site_fract_x
_atom_site_fract_y
_atom_site_fract_z
Au1 0.5000 0.5000 0.5000
O1 0.7500 0.7500 0.7500
O2 0.2500 0.2500 0.2500
Ca1 0.0000 0.0000 0.0000
```

Calculated values
Raw formation energy (meV per atom): -916
DFT total energy (eV per atom): -4.714

=====

Ca3AuO: relaxed, PBE.

```
data_Ca3AuO
_chemical_formula_sum 'Ca3 Au1 O1'
_symmetry_space_group_name_H-M 'P 1'
_symmetry_Int_Tables_number 1
_cell_length_a 4.7881
_cell_length_b 4.7881
_cell_length_c 4.7881
_cell_angle_alpha 90.00
_cell_angle_beta 90.00
_cell_angle_gamma 90.00
loop_
_symmetry_equiv_pos_as_xyz
'x,y,z'
loop_
_atom_site_label
_atom_site_fract_x
_atom_site_fract_y
_atom_site_fract_z
Ca1 0.5000 0.0000 0.0000
Ca2 0.0000 0.5000 0.0000
Ca3 0.0000 0.0000 0.5000
O1 0.0000 0.0000 0.0000
Au1 0.5000 0.5000 0.5000
```

Calculated values
Polymorph energy (0 for the lowest one) (meV/atom): 0
Raw formation energy (meV per atom): -1476
DFT total energy (eV per atom): -4.324

=====

Ca2Au2O: relaxed, PBE.

```
data_Ca2Au2O
_chemical_formula_sum 'Ca4 Au4 O2'
_symmetry_space_group_name_H-M 'P 1'
_symmetry_Int_Tables_number 1
_cell_length_a 7.6352
_cell_length_b 7.6352
_cell_length_c 3.8783
_cell_angle_alpha 90.00
_cell_angle_beta 90.00
_cell_angle_gamma 90.00
loop_
_symmetry_equiv_pos_as_xyz
'x,y,z'
loop_
_atom_site_label
_atom_site_fract_x
_atom_site_fract_y
_atom_site_fract_z
Au1 0.6260 0.1260 0.0000
Au2 0.3740 0.8740 0.0000
Au3 0.8740 0.6260 0.0000
Au4 0.1260 0.3740 0.0000
Ca1 0.1798 0.6798 0.5000
Ca2 0.3202 0.1798 0.5000
Ca3 0.6798 0.8202 0.5000
Ca4 0.8202 0.3202 0.5000
O1 0.0000 0.0000 0.0000
O2 0.5000 0.5000 0.0000
```

Calculated values
Polymorph energy (0 for the lowest one) (meV/atom): 0
Raw formation energy (meV per atom): -577
DFT total energy (eV per atom): -3.681

=====

CaAuO2: relaxed, PBE.

```
data_CaAuO2
_chemical_formula_sum 'Ca2 Au2 O4'
_symmetry_space_group_name_H-M 'P 1'
_symmetry_Int_Tables_number 1
_cell_length_a 3.0997
_cell_length_b 5.9651
_cell_length_c 5.9630
_cell_angle_alpha 90.00
_cell_angle_beta 90.00
_cell_angle_gamma 90.00
loop_
_symmetry_equiv_pos_as_xyz
'x,y,z'
loop_
_atom_site_label
_atom_site_fract_x
_atom_site_fract_y
_atom_site_fract_z
O1 0.3749 0.8108 0.1897
O2 0.3749 0.1892 0.8103
O3 0.3749 0.6892 0.6897
O4 0.3749 0.3108 0.3103
Au1 0.8749 0.5000 0.5000
Au2 0.8749 0.0000 0.0000
Ca1 0.8749 0.5000 0.0000
Ca2 0.8749 0.0000 0.5000
```

Calculated values
Raw formation energy (meV per atom): -1098
DFT total energy (eV per atom): -4.897

=====

CaAuO2: relaxed, PBE.

```
data_CaAuO2
_chemical_formula_sum 'Ca2 Au2 O4'
_symmetry_space_group_name_H-M 'P 1'
_symmetry_Int_Tables_number 1
_cell_length_a 4.7051
_cell_length_b 4.7051
_cell_length_c 6.9288
_cell_angle_alpha 70.15
_cell_angle_beta 70.15
_cell_angle_gamma 90.00
loop_
_symmetry_equiv_pos_as_xyz
'x,y,z'
loop_
_atom_site_label
_atom_site_fract_x
_atom_site_fract_y
_atom_site_fract_z
Au1 0.7500 0.2500 0.5000
Au2 0.0000 0.0000 0.0000
O1 0.3750 0.3603 0.7500
O2 0.1103 0.6250 0.2500
O3 0.8750 0.8897 0.7500
O4 0.6397 0.1250 0.2500
Ca1 0.2500 0.7500 0.5000
Ca2 0.5000 0.5000 0.0000
```

Calculated values
Raw formation energy (meV per atom): -1129
DFT total energy (eV per atom): -4.928

=====

Ca2Au2O: relaxed, PBE.

```
data_Ca2Au2O
_chemical_formula_sum 'Ca2 Au2 O1'
_symmetry_space_group_name_H-M 'P 1'
_symmetry_Int_Tables_number 1
_cell_length_a 5.7585
_cell_length_b 5.7585
_cell_length_c 5.4316
_cell_angle_alpha 57.99
_cell_angle_beta 57.99
_cell_angle_gamma 90.00
loop_
_symmetry_equiv_pos_as_xyz
'x,y,z'
loop_
_atom_site_label
_atom_site_fract_x
_atom_site_fract_y
_atom_site_fract_z
Ca1 0.2500 0.7500 0.5000
Ca2 0.7500 0.2500 0.5000
Au1 0.6810 0.6810 0.6380
Au2 0.3190 0.3190 0.3620
O1 0.0000 0.0000 0.0000
```

Calculated values
Polymorph energy (0 for the lowest one) (meV/atom): 105
Raw formation energy (meV per atom): -472
DFT total energy (eV per atom): -3.576

=====

CaAu3O6: relaxed, PBE.

```
data_CaAu3O6
_chemical_formula_sum 'Ca1 Au3 O6'
_symmetry_space_group_name_H-M 'P 1'
_symmetry_Int_Tables_number 1
_cell_length_a 3.6307
_cell_length_b 6.3550
_cell_length_c 6.3550
_cell_angle_alpha 110.76
_cell_angle_beta 90.00
_cell_angle_gamma 90.00
loop_
_symmetry_equiv_pos_as_xyz
'x,y,z'
loop_
_atom_site_label
_atom_site_fract_x
_atom_site_fract_y
_atom_site_fract_z
O1 0.0000 0.6646 0.9264
O2 0.5000 0.6539 0.3461
O3 0.0000 0.9264 0.6646
O4 0.5000 0.3461 0.6539
O5 0.0000 0.0736 0.3354
O6 0.0000 0.3354 0.0736
Ca1 0.0000 0.5000 0.5000
Au1 0.5000 0.0000 0.5000
Au2 0.0000 0.0000 0.0000
Au3 0.5000 0.5000 0.0000
```

Calculated values
Raw formation energy (meV per atom): -607
DFT total energy (eV per atom): -4.765

=====

CaAu2O: relaxed, PBE.

```
data_CaAu2O
_chemical_formula_sum 'Ca2 Au4 O2'
_symmetry_space_group_name_H-M 'P 1'
_symmetry_Int_Tables_number 1
_cell_length_a 3.6738
_cell_length_b 3.6738
_cell_length_c 12.0556
_cell_angle_alpha 81.24
_cell_angle_beta 81.24
_cell_angle_gamma 90.00
loop_
_symmetry_equiv_pos_as_xyz
'x,y,z'
loop_
_atom_site_label
_atom_site_fract_x
_atom_site_fract_y
_atom_site_fract_z
O1 0.2500 0.7500 0.5000
O2 0.5000 0.5000 0.0000
Au1 0.3750 0.3762 0.7500
Au2 0.8750 0.8738 0.7500
Au3 0.1262 0.6250 0.2500
Au4 0.6238 0.1250 0.2500
Ca1 0.7500 0.2500 0.5000
Ca2 0.0000 0.0000 0.0000
```

Calculated values
Raw formation energy (meV per atom): -872
DFT total energy (eV per atom): -4.250

=====

CaPAuO2: relaxed, PBE.

```
data_CaPAuO2
_chemical_formula_sum 'Ca1 P1 Au1 O2'
_symmetry_space_group_name_H-M 'P 1'
_symmetry_Int_Tables_number 1
_cell_length_a 4.2406
_cell_length_b 4.2406
_cell_length_c 4.7186
_cell_angle_alpha 90.00
_cell_angle_beta 90.00
_cell_angle_gamma 90.00
loop_
_symmetry_equiv_pos_as_xyz
'x,y,z'
loop_
_atom_site_label
_atom_site_fract_x
_atom_site_fract_y
_atom_site_fract_z
Au1 0.0000 0.0000 0.0000
P1 0.0000 0.0000 0.5000
Ca1 0.5000 0.5000 0.5000
O1 0.5000 0.0000 0.0000
O2 0.0000 0.5000 0.0000
```

Calculated values
Polymorph energy (0 for the lowest one) (meV/atom): 0
Raw formation energy (meV per atom): -231
DFT total energy (eV per atom): -4.352

=====

CaP2AuO: relaxed, PBE.

```
data_CaP2AuO
_chemical_formula_sum 'Ca1 P2 Au1 O1'
_symmetry_space_group_name_H-M 'P 1'
_symmetry_Int_Tables_number 1
_cell_length_a 5.3268
_cell_length_b 5.3268
_cell_length_c 4.1007
_cell_angle_alpha 90.00
_cell_angle_beta 90.00
_cell_angle_gamma 90.00
loop_
_symmetry_equiv_pos_as_xyz
'x,y,z'
loop_
_atom_site_label
_atom_site_fract_x
_atom_site_fract_y
_atom_site_fract_z
Ca1 0.0000 0.0000 0.0000
P1 0.0000 0.5000 0.0000
P2 0.5000 0.0000 0.0000
O1 0.0000 0.0000 0.5000
Au1 0.5000 0.5000 0.5000
```

Calculated values
Polymorph energy (0 for the lowest one) (meV/atom): 611
Raw formation energy (meV per atom): 726
DFT total energy (eV per atom): -3.485

=====

CaP2AuO8: relaxed, PBE.

```
data_CaP2AuO8
_chemical_formula_sum 'Ca1 P2 Au1 O8'
_symmetry_space_group_name_H-M 'P 1'
_symmetry_Int_Tables_number 1
_cell_length_a 4.7932
_cell_length_b 4.7932
_cell_length_c 7.8058
_cell_angle_alpha 72.12
_cell_angle_beta 72.12
_cell_angle_gamma 60.00
loop_
_symmetry_equiv_pos_as_xyz
'x,y,z'
loop_
_atom_site_label
_atom_site_fract_x
_atom_site_fract_y
_atom_site_fract_z
O1 0.2804 0.9594 0.1798
O2 0.5804 0.2804 0.1798
O3 0.7196 0.0406 0.8202
O4 0.8182 0.8182 0.5454
O5 0.0406 0.4196 0.8202
O6 0.1818 0.1818 0.4546
O7 0.4196 0.7196 0.8202
O8 0.9594 0.5804 0.1798
Ca1 0.5000 0.5000 0.5000
Au1 0.0000 0.0000 0.0000
P1 0.7483 0.7483 0.7552
P2 0.2517 0.2517 0.2448
```

Calculated values
Raw formation energy (meV per atom): -1702
DFT total energy (eV per atom): -6.349

=====

CaPAuO2: relaxed, PBE.

```
data_CaPAuO2
_chemical_formula_sum 'Ca1 P1 Au1 O2'
_symmetry_space_group_name_H-M 'P 1'
_symmetry_Int_Tables_number 1
_cell_length_a 4.1096
_cell_length_b 4.1096
_cell_length_c 6.6433
_cell_angle_alpha 90.00
_cell_angle_beta 90.00
_cell_angle_gamma 90.00
loop_
_symmetry_equiv_pos_as_xyz
'x,y,z'
loop_
_atom_site_label
_atom_site_fract_x
_atom_site_fract_y
_atom_site_fract_z
O1 0.0000 0.5000 0.0000
O2 0.5000 0.0000 0.0000
Au1 0.5000 0.5000 0.5000
Ca1 0.0000 0.0000 0.0000
P1 0.0000 0.0000 0.5000
```

Calculated values
Polymorph energy (0 for the lowest one) (meV/atom): 343
Raw formation energy (meV per atom): 112
DFT total energy (eV per atom): -4.009

=====

Number 1: density of states at the Fermi level 35.95 states/eV/f.u., spin magnetization 12.02 μB/f.u.. Number 2: density of states at the Fermi level 5.48 states/eV/f.u., spin magnetization 1.00 μB/f.u.. Number 3: density of states at the Fermi level 2.11 states/eV/f.u., spin magnetization 0.00 μB/f.u.. Number 4: density of states at the Fermi level 2.06 states/eV/f.u., spin magnetization 0.00 μB/f.u.. Number 5: density of states at the Fermi level 1.80 states/eV/f.u., spin magnetization 0.85 μB/f.u.. Number 6: density of states at the Fermi level 0.87 states/eV/f.u., spin magnetization 1.00 μB/f.u.. Number 7: density of states at the Fermi level 1.66 states/eV/f.u., spin magnetization 0.00 μB/f.u.. Number 8: density of states at the Fermi level 3.85 states/eV/f.u., spin magnetization 0.00 μB/f.u.. Number 9: density of states at the Fermi level 0.75 states/eV/f.u., spin magnetization 0.00 μB/f.u.. Number 10: density of states at the Fermi level 4.03 states/eV/f.u., spin magnetization 0.00 μB/f.u.. Number 11: density of states at the Fermi level 5.50 states/eV/f.u., spin magnetization 1.20 μB/f.u.. Number 12: density of states at the Fermi level 4.73 states/eV/f.u., spin magnetization 1.06 μB/f.u.. Number 13: density of states at the Fermi level 3.55 states/eV/f.u., spin magnetization 2.97 μB/f.u..